Entry one
Pr8Al2Pd, relaxed, DFT PBE-GGA; magnetization = 0.0 μB/cell; space group = C2/m, No. 12
1.0
9.566 -2.595 0.000
9.566 2.595 0.000
-1.570 0.000 6.793
Pr Al Pd
8 2 1
Direct
0.020 0.020 0.276
0.208 0.208 0.799
0.346 0.346 0.529
0.405 0.405 0.038
0.595 0.595 0.962
0.654 0.654 0.471
0.792 0.792 0.201
0.980 0.980 0.724
0.186 0.186 0.243
0.814 0.814 0.757
0.500 0.500 0.500

***

Entry two
Pr8Al2Pd, relaxed, DFT PBE-GGA; magnetization = 0.0 μB/cell; space group = Immm, No. 71
1.0
-2.733 3.588 8.422
2.733 -3.588 8.422
2.733 3.588 -8.422
Pr Al Pd
8 2 1
Direct
0.128 0.366 0.763
0.197 0.197 0.000
0.258 0.000 0.258
0.397 0.634 0.763
0.603 0.366 0.237
0.742 0.000 0.742
0.803 0.803 0.000
0.872 0.634 0.237
0.315 0.815 0.500
0.685 0.185 0.500
0.000 0.500 0.500

***

Top of the stability list: entry one, leading by 3.8 kJ/mol of atoms.